Record 1
VASP calculation (PBE-GGA) on crystalline YFe4Ge12 at its relaxed geometry.

```
data_YFe4Ge12
_symmetry_space_group_name_H-M 'I m -3'
_symmetry_Int_Tables_number 204
_symmetry_space_group_name_Hall '-I 2 2 3'
_cell_length_a 8.456
_cell_length_b 8.456
_cell_length_c 8.456
_cell_angle_alpha 90.00
_cell_angle_beta 90.00
_cell_angle_gamma 90.00
loop_
_atom_site_label
_atom_site_fract_x
_atom_site_fract_y
_atom_site_fract_z
_atom_site_occupancy
Y1 0.000 0.000 0.000 1
Fe1 0.250 0.250 0.250 1
Ge1 0.000 0.166 0.340 1
```

Properties
**Spin magnetization**: 0.27 μB/atom
**Energy of formation**: 36 meV/atom

Record 2
VASP calculation (PBE-GGA) on crystalline ScPS2O at its relaxed geometry.

```
data_ScPS2O
_symmetry_space_group_name_H-M 'P 4/m m m'
_symmetry_Int_Tables_number 123
_symmetry_space_group_name_Hall '-P 4 2'
_cell_length_a 4.310
_cell_length_b 4.310
_cell_length_c 4.072
_cell_angle_alpha 90.00
_cell_angle_beta 90.00
_cell_angle_gamma 90.00
loop_
_atom_site_label
_atom_site_fract_x
_atom_site_fract_y
_atom_site_fract_z
_atom_site_occupancy
Sc1 0.000 0.000 0.000 1
P1 0.500 0.500 0.000 1
S1 0.000 0.500 0.500 1
O1 0.500 0.500 0.500 1
```

Properties
**Excess energy over the best structure of this formula in the dataset**: 0 meV/atom
**Spin magnetization**: 0.00 μB/atom

Record 3
VASP calculation (PBE-GGA) on crystalline Y4CoOs at its relaxed geometry.

```
data_Y4CoOs
_symmetry_space_group_name_H-M 'F -4 3 m'
_symmetry_Int_Tables_number 216
_symmetry_space_group_name_Hall 'F -4 2 3'
_cell_length_a 8.323
_cell_length_b 8.323
_cell_length_c 8.323
_cell_angle_alpha 90.00
_cell_angle_beta 90.00
_cell_angle_gamma 90.00
loop_
_atom_site_label
_atom_site_fract_x
_atom_site_fract_y
_atom_site_fract_z
_atom_site_occupancy
Y1 0.124 0.124 0.376 1
Co1 0.000 0.000 0.000 1
Os1 0.250 0.250 0.750 1
```

Properties
**Excess energy over the best structure of this formula in the dataset**: 1253 meV/atom
**Spin magnetization**: 0.10 μB/atom
**Energy of formation**: 1130 meV/atom

Record 4
VASP calculation (PBE-GGA) on crystalline CrHgSe2 at its relaxed geometry.

```
data_CrHgSe2
_symmetry_space_group_name_H-M 'C 1 2/m 1'
_symmetry_Int_Tables_number 12
_cell_length_a 6.114
_cell_length_b 7.788
_cell_length_c 4.409
_cell_angle_alpha 90.00
_cell_angle_beta 119.63
_cell_angle_gamma 90.00
loop_
_symmetry_equiv_pos_as_xyz
'x,y,z'
'-x,-y,-z'
'-x,y,-z'
'x,-y,z'
'x+1/2,y+1/2,z'
'-x+1/2,-y+1/2,-z'
'-x+1/2,y+1/2,-z'
'x+1/2,-y+1/2,z'
loop_
_atom_site_label
_atom_site_fract_x
_atom_site_fract_y
_atom_site_fract_z
_atom_site_occupancy
Cr1 0.000 0.000 0.000 1
Hg1 0.000 0.500 0.000 1
Se1 0.250 0.250 0.500 1
```

Properties
**Energy**: -32.498 eV per cell
**Spin magnetization**: 1.10 μB/atom

Record 5
VASP calculation (PBE-GGA) on crystalline Rb2PrErS4 at its relaxed geometry.

```
data_Rb2PrErS4
_symmetry_space_group_name_H-M 'P 1 2/m 1'
_symmetry_Int_Tables_number 10
_cell_length_a 7.196
_cell_length_b 4.152
_cell_length_c 8.071
_cell_angle_alpha 90.00
_cell_angle_beta 107.25
_cell_angle_gamma 90.00
loop_
_symmetry_equiv_pos_as_xyz
'x,y,z'
'-x,-y,-z'
'-x,y,-z'
'x,-y,z'
loop_
_atom_site_label
_atom_site_fract_x
_atom_site_fract_y
_atom_site_fract_z
_atom_site_occupancy
Rb1 0.000 0.000 0.000 1
Rb2 0.500 0.500 0.000 1
Pr1 0.000 0.500 0.500 1
Er1 0.500 0.000 0.500 1
S1 0.243 0.000 0.696 1
S2 0.280 0.500 0.308 1
```

Properties
**Energy**: -42.397 eV per cell
**Spin magnetization**: 0.00 μB/atom

Record 6
VASP calculation (PBE-GGA) on crystalline TlCr2Re at its relaxed geometry.

```
data_TlCr2Re
_symmetry_space_group_name_H-M 'I -4 m 2'
_symmetry_Int_Tables_number 119
_symmetry_space_group_name_Hall 'I -4 -2'
_cell_length_a 3.908
_cell_length_b 3.908
_cell_length_c 8.092
_cell_angle_alpha 90.00
_cell_angle_beta 90.00
_cell_angle_gamma 90.00
loop_
_atom_site_label
_atom_site_fract_x
_atom_site_fract_y
_atom_site_fract_z
_atom_site_occupancy
Tl1 0.000 0.000 0.000 1
Cr1 0.000 0.000 0.500 1
Cr2 0.000 0.500 0.750 1
Re1 0.000 0.500 0.250 1
```

Properties
**Excess energy over the best structure of this formula in the dataset**: 286 meV/atom
**Spin magnetization**: 0.26 μB/atom
**Energy of formation**: 758 meV/atom

Record 7
VASP calculation (PBE-GGA) on crystalline Cu2TcAs at its relaxed geometry.

```
data_Cu2TcAs
_symmetry_space_group_name_H-M 'P m m m'
_symmetry_Int_Tables_number 47
_cell_length_a 2.715
_cell_length_b 4.010
_cell_length_c 5.131
_cell_angle_alpha 90.00
_cell_angle_beta 90.00
_cell_angle_gamma 90.00
loop_
_symmetry_equiv_pos_as_xyz
'x,y,z'
'-x,-y,-z'
'-x,-y,z'
'x,y,-z'
'x,-y,-z'
'-x,y,z'
'-x,y,-z'
'x,-y,z'
loop_
_atom_site_label
_atom_site_fract_x
_atom_site_fract_y
_atom_site_fract_z
_atom_site_occupancy
Cu1 0.000 0.000 0.241 1
Tc1 0.500 0.500 0.000 1
As1 0.500 0.500 0.500 1
```

Properties
**Spin magnetization**: 0.00 μB/atom
**Energy of formation**: 276 meV/atom

Record 8
VASP calculation (PBE-GGA) on crystalline K2Na3InCl6 at its relaxed geometry.

```
data_K2Na3InCl6
_symmetry_space_group_name_H-M 'C 1 2/m 1'
_symmetry_Int_Tables_number 12
_cell_length_a 18.751
_cell_length_b 4.241
_cell_length_c 8.632
_cell_angle_alpha 90.00
_cell_angle_beta 104.67
_cell_angle_gamma 90.00
loop_
_symmetry_equiv_pos_as_xyz
'x,y,z'
'-x,-y,-z'
'-x,y,-z'
'x,-y,z'
'x+1/2,y+1/2,z'
'-x+1/2,-y+1/2,-z'
'-x+1/2,y+1/2,-z'
'x+1/2,-y+1/2,z'
loop_
_atom_site_label
_atom_site_fract_x
_atom_site_fract_y
_atom_site_fract_z
_atom_site_occupancy
K1 0.166 0.000 0.330 1
Na1 0.000 0.500 0.500 1
Na2 0.166 0.000 0.830 1
In1 0.000 0.500 0.000 1
Cl1 0.007 0.000 0.729 1
Cl2 0.161 0.500 0.596 1
Cl3 0.174 0.500 0.066 1
```

Properties
**Energy**: -80.030 eV per cell
**Spin magnetization**: 0.00 μB/atom

Record 9
VASP calculation (PBE-GGA) on crystalline CsZrCuIr2 at its relaxed geometry.

```
data_CsZrCuIr2
_symmetry_space_group_name_H-M 'P 4/m m m'
_symmetry_Int_Tables_number 123
_symmetry_space_group_name_Hall '-P 4 2'
_cell_length_a 5.059
_cell_length_b 5.059
_cell_length_c 4.689
_cell_angle_alpha 90.00
_cell_angle_beta 90.00
_cell_angle_gamma 90.00
loop_
_atom_site_label
_atom_site_fract_x
_atom_site_fract_y
_atom_site_fract_z
_atom_site_occupancy
Cs1 0.000 0.000 0.000 1
Zr1 0.500 0.500 0.500 1
Cu1 0.000 0.000 0.500 1
Ir1 0.000 0.500 0.000 1
```

Properties
**Spin magnetization**: 0.00 μB/atom
**Energy of formation**: 2323 meV/atom

Record 10
VASP calculation (PBE-GGA) on crystalline Nd5As4O at its relaxed geometry.

```
data_Nd5As4O
_symmetry_space_group_name_H-M 'I 4'
_symmetry_Int_Tables_number 79
_cell_length_a 9.285
_cell_length_b 9.285
_cell_length_c 6.004
_cell_angle_alpha 90.00
_cell_angle_beta 90.00
_cell_angle_gamma 90.00
loop_
_symmetry_equiv_pos_as_xyz
'x,y,z'
'-y,x,z'
'-x,-y,z'
'y,-x,z'
'x+1/2,y+1/2,z+1/2'
'-y+1/2,x+1/2,z+1/2'
'-x+1/2,-y+1/2,z+1/2'
'y+1/2,-x+1/2,z+1/2'
loop_
_atom_site_label
_atom_site_fract_x
_atom_site_fract_y
_atom_site_fract_z
_atom_site_occupancy
Nd1 0.000 0.000 0.000 1
Nd2 0.098 0.711 0.564 1
As1 0.095 0.700 0.064 1
O1 0.000 0.000 0.623 1
```

Properties
**Energy**: -128.559 eV per cell
**Spin magnetization**: 0.00 μB/atom

Record 11
VASP calculation (PBE-GGA) on crystalline Li2CoCl at its relaxed geometry.

```
data_Li2CoCl
_symmetry_space_group_name_H-M 'F m -3 m'
_symmetry_Int_Tables_number 225
_symmetry_space_group_name_Hall '-F 4 2 3'
_cell_length_a 6.543
_cell_length_b 6.543
_cell_length_c 6.543
_cell_angle_alpha 90.00
_cell_angle_beta 90.00
_cell_angle_gamma 90.00
loop_
_atom_site_label
_atom_site_fract_x
_atom_site_fract_y
_atom_site_fract_z
_atom_site_occupancy
Li1 0.250 0.250 0.250 1
Co1 0.000 0.000 0.000 1
Cl1 0.000 0.000 0.500 1
```

Properties
**Excess energy over the best structure of this formula in the dataset**: 406 meV/atom
**Spin magnetization**: 0.50 μB/atom

Record 12
VASP calculation (PBE-GGA) on crystalline Pm2Dy3S6 at its relaxed geometry.

```
data_Pm2Dy3S6
_symmetry_space_group_name_H-M 'C 1 2/m 1'
_symmetry_Int_Tables_number 12
_cell_length_a 6.852
_cell_length_b 11.823
_cell_length_c 6.863
_cell_angle_alpha 90.00
_cell_angle_beta 109.36
_cell_angle_gamma 90.00
loop_
_symmetry_equiv_pos_as_xyz
'x,y,z'
'-x,-y,-z'
'-x,y,-z'
'x,-y,z'
'x+1/2,y+1/2,z'
'-x+1/2,-y+1/2,-z'
'-x+1/2,y+1/2,-z'
'x+1/2,-y+1/2,z'
loop_
_atom_site_label
_atom_site_fract_x
_atom_site_fract_y
_atom_site_fract_z
_atom_site_occupancy
Pm1 0.000 0.165 0.000 1
Dy1 0.000 0.000 0.500 1
Dy2 0.000 0.337 0.500 1
S1 0.245 0.500 0.744 1
S2 0.247 0.166 0.739 1
```

Properties
**Energy**: -141.797 eV per cell
**Spin magnetization**: 0.00 μB/atom

Record 13
VASP calculation (PBE-GGA) on crystalline PaTlNiAu at its relaxed geometry.

```
data_PaTlNiAu
_symmetry_space_group_name_H-M 'F -4 3 m'
_symmetry_Int_Tables_number 216
_symmetry_space_group_name_Hall 'F -4 2 3'
_cell_length_a 6.886
_cell_length_b 6.886
_cell_length_c 6.886
_cell_angle_alpha 90.00
_cell_angle_beta 90.00
_cell_angle_gamma 90.00
loop_
_atom_site_label
_atom_site_fract_x
_atom_site_fract_y
_atom_site_fract_z
_atom_site_occupancy
Pa1 0.000 0.000 0.000 1
Tl1 0.000 0.000 0.500 1
Ni1 0.250 0.250 0.250 1
Au1 0.250 0.250 0.750 1
```

Properties
**Spin magnetization**: 0.00 μB/atom
**Energy of formation**: -120 meV/atom

Record 14
VASP calculation (PBE-GGA) on crystalline MgCoI at its relaxed geometry.

```
data_MgCoI
_symmetry_space_group_name_H-M 'C 1 m 1'
_symmetry_Int_Tables_number 8
_cell_length_a 7.411
_cell_length_b 4.189
_cell_length_c 10.999
_cell_angle_alpha 90.00
_cell_angle_beta 107.04
_cell_angle_gamma 90.00
loop_
_symmetry_equiv_pos_as_xyz
'x,y,z'
'x,-y,z'
'x+1/2,y+1/2,z'
'x+1/2,-y+1/2,z'
loop_
_atom_site_label
_atom_site_fract_x
_atom_site_fract_y
_atom_site_fract_z
_atom_site_occupancy
Mg1 0.000 0.000 0.000 1
Mg2 0.244 0.500 0.178 1
Co1 0.105 0.000 0.243 1
Co2 0.458 0.000 0.289 1
I1 0.067 0.000 0.464 1
I2 0.102 0.500 0.844 1
```

Properties
**Excess energy over the best structure of this formula in the dataset**: 210 meV/atom
**Spin magnetization**: 0.49 μB/atom

Record 15
VASP calculation (PBE-GGA) on crystalline Cs2LiZnAg at its relaxed geometry.

```
data_Cs2LiZnAg
_symmetry_space_group_name_H-M 'P 4/m m m'
_symmetry_Int_Tables_number 123
_symmetry_space_group_name_Hall '-P 4 2'
_cell_length_a 6.927
_cell_length_b 6.927
_cell_length_c 5.119
_cell_angle_alpha 90.00
_cell_angle_beta 90.00
_cell_angle_gamma 90.00
loop_
_atom_site_label
_atom_site_fract_x
_atom_site_fract_y
_atom_site_fract_z
_atom_site_occupancy
Cs1 0.000 0.500 0.000 1
Li1 0.000 0.000 0.000 1
Zn1 0.000 0.000 0.500 1
Ag1 0.500 0.500 0.500 1
```

Properties
**Spin magnetization**: 0.00 μB/atom
**Energy of formation**: 288 meV/atom

Record 16
VASP calculation (PBE-GGA) on crystalline DyPa2H at its relaxed geometry.

```
data_DyPa2H
_symmetry_space_group_name_H-M 'R -3 m'
_symmetry_Int_Tables_number 166
_symmetry_space_group_name_Hall '-R 3 2"'
_cell_length_a 3.1945
_cell_length_b 3.1945
_cell_length_c 28.4630
_cell_angle_alpha 90.00
_cell_angle_beta 90.00
_cell_angle_gamma 120.00
loop_
_atom_site_label
_atom_site_fract_x
_atom_site_fract_y
_atom_site_fract_z
_atom_site_occupancy
Dy1 0.0000 0.0000 0.0000 1
Pa1 0.0000 0.0000 0.1119 1
H1 0.0000 0.0000 0.5000 1
```

Properties
**Energy**: -78.868 eV per cell
**Spin magnetization**: 0.00 μB/atom

Record 17
VASP calculation (PBE-GGA) on crystalline LiMnRe2 at its relaxed geometry.

```
data_LiMnRe2
_symmetry_space_group_name_H-M 'F -4 3 m'
_symmetry_Int_Tables_number 216
_symmetry_space_group_name_Hall 'F -4 2 3'
_cell_length_a 6.003
_cell_length_b 6.003
_cell_length_c 6.003
_cell_angle_alpha 90.00
_cell_angle_beta 90.00
_cell_angle_gamma 90.00
loop_
_atom_site_label
_atom_site_fract_x
_atom_site_fract_y
_atom_site_fract_z
_atom_site_occupancy
Li1 0.000 0.000 0.000 1
Mn1 0.250 0.250 0.250 1
Re1 0.000 0.000 0.500 1
Re2 0.250 0.250 0.750 1
```

Properties
**Excess energy over the best structure of this formula in the dataset**: 0 meV/atom
**Spin magnetization**: 0.54 μB/atom
**Energy of formation**: 177 meV/atom

Record 18
VASP calculation (PBE-GGA) on crystalline ZrHgGe3 at its relaxed geometry.

```
data_ZrHgGe3
_symmetry_space_group_name_H-M 'P m -3 m'
_symmetry_Int_Tables_number 221
_symmetry_space_group_name_Hall '-P 4 2 3'
_cell_length_a 5.255
_cell_length_b 5.255
_cell_length_c 5.255
_cell_angle_alpha 90.00
_cell_angle_beta 90.00
_cell_angle_gamma 90.00
loop_
_atom_site_label
_atom_site_fract_x
_atom_site_fract_y
_atom_site_fract_z
_atom_site_occupancy
Zr1 0.000 0.000 0.000 1
Hg1 0.500 0.500 0.500 1
Ge1 0.000 0.000 0.500 1
```

Properties
**Excess energy over the best structure of this formula in the dataset**: 0 meV/atom
**Spin magnetization**: 0.00 μB/atom
**Energy of formation**: 417 meV/atom

Record 19
VASP calculation (PBE-GGA) on crystalline InHg7Bi2 at its relaxed geometry.

```
data_InHg7Bi2
_symmetry_space_group_name_H-M 'C m m m'
_symmetry_Int_Tables_number 65
_symmetry_space_group_name_Hall '-C 2 2'
_cell_length_a 10.065
_cell_length_b 18.218
_cell_length_c 3.394
_cell_angle_alpha 90.00
_cell_angle_beta 90.00
_cell_angle_gamma 90.00
loop_
_atom_site_label
_atom_site_fract_x
_atom_site_fract_y
_atom_site_fract_z
_atom_site_occupancy
In1 0.000 0.000 0.000 1
Hg1 0.000 0.182 0.000 1
Hg2 0.000 0.500 0.500 1
Hg3 0.220 0.094 0.500 1
Bi1 0.000 0.334 0.500 1
```

Properties
**Spin magnetization**: 0.00 μB/atom
**Energy of formation**: 88 meV/atom